Entry 1:
Fe8Re3Ru | the Alexandria database | GGA-PBE | relaxed; DFT total energy = -114.03 eV/cell; formation energy = 0.0243 eV/atom
1.0
4.648 0.000 0.000
-2.324 4.025 0.000
0.000 0.000 7.619
Fe Re Ru
8 3 1
direct
0.000 0.000 0.000
0.000 0.000 0.499
0.170 0.339 0.748
0.170 0.830 0.748
0.340 0.170 0.249
0.661 0.830 0.748
0.830 0.170 0.249
0.830 0.660 0.249
0.333 0.667 0.062
0.333 0.667 0.433
0.667 0.333 0.935
0.667 0.333 0.560

=====

Entry 2:
FeReRu4 | the Alexandria database | GGA-PBE | relaxed; DFT total energy = -54.61 eV/cell; formation energy = 0.5680 eV/atom
1.0
0.000 3.544 3.544
3.544 0.000 3.544
3.544 3.544 0.000
Fe Re Ru
1 1 4
direct
0.000 0.000 0.000
0.750 0.750 0.750
0.375 0.375 0.375
0.375 0.375 0.876
0.375 0.876 0.375
0.876 0.375 0.375

=====

Entry 3:
FeRe2Ru2 | the Alexandria database | GGA-PBE | relaxed; DFT total energy = -98.97 eV/cell; formation energy = 0.4852 eV/atom
1.0
7.330 0.000 0.000
0.000 7.330 0.000
0.000 0.000 2.771
Fe Re Ru
2 4 4
direct
0.000 0.000 0.000
0.500 0.500 0.000
0.170 0.330 0.500
0.330 0.830 0.500
0.670 0.170 0.500
0.830 0.670 0.500
0.127 0.627 0.000
0.373 0.127 0.000
0.627 0.873 0.000
0.873 0.373 0.000

=====

Entry 4:
FeRe2Ru2 | the Alexandria database | GGA-PBE | relaxed; DFT total energy = -47.41 eV/cell; formation energy = 0.9011 eV/atom
1.0
-1.863 1.863 5.831
1.863 -1.863 5.831
1.863 1.863 -5.831
Fe Re Ru
1 2 2
direct
0.000 0.000 0.000
0.250 0.750 0.500
0.750 0.250 0.500
0.400 0.400 0.000
0.600 0.600 0.000

=====

Entry 5:
FeRe4Ru | the Alexandria database | GGA-PBE | relaxed; DFT total energy = -64.61 eV/cell; formation energy = 0.4866 eV/atom
1.0
0.000 3.610 3.610
3.610 0.000 3.610
3.610 3.610 0.000
Fe Re Ru
1 4 1
direct
0.000 0.000 0.000
0.124 0.625 0.625
0.625 0.124 0.625
0.625 0.625 0.124
0.625 0.625 0.625
0.250 0.250 0.250

=====

Entry 6:
FeReSb2Ru | the Alexandria database | GGA-PBE | relaxed; formation energy from raw total energies = 151.9 kJ/mol of atoms; DFT total energy = -30.56 eV/cell
1.0
5.078 0.000 0.000
0.000 5.078 0.000
0.000 0.000 4.427
Fe Re Sb Ru
1 1 2 1
direct
0.000 0.000 0.000
0.000 0.000 0.500
0.000 0.500 0.500
0.500 0.000 0.500
0.500 0.500 0.000

=====

Entry 7:
TaFeReRu | the Alexandria database | GGA-PBE | relaxed; DFT total energy = -42.20 eV/cell; formation energy = -0.0407 eV/atom
1.0
0.000 3.104 3.104
3.104 0.000 3.104
3.104 3.104 0.000
Ta Fe Re Ru
1 1 1 1
direct
0.000 0.000 0.000
0.500 0.500 0.500
0.250 0.250 0.250
0.750 0.750 0.750

=====

Entry 8:
Fe3ReS | the Alexandria database | GGA-PBE | relaxed; formation energy from raw total energies = 81.1 kJ/mol of atoms; DFT total energy = -37.76 eV/cell
1.0
4.018 0.000 0.000
0.000 4.018 0.000
0.000 0.000 4.018
Fe Re S
3 1 1
direct
0.000 0.000 0.500
0.000 0.500 0.000
0.500 0.000 0.000
0.500 0.500 0.500
0.000 0.000 0.000